Version i
The following is a DFT calculation (PBE) of crystalline Na3NiMo at its relaxed geometry.

The structure in extended XYZ format:
```
5
Lattice="5.251 0.000 0.000 0.000 5.251 0.000 0.000 0.000 5.251" Properties=species:S:1:pos:R:3 pbc="T T T"
Mo 2.626 2.626 2.626
Na 2.626 0.000 0.000
Na 0.000 0.000 2.626
Na 0.000 2.626 0.000
Ni 0.000 0.000 0.000
```

Values from the calculation:
volume = 28.96 A^3/atom
mass density = 2.564 Mg/m³

***

Version ii
The following is a DFT calculation (PBE) of crystalline Na3NiMo at its relaxed geometry.

The structure in extended XYZ format:
```
5
Lattice="-4.709 -2.955 -1.569 -0.068 -2.624 5.146 -3.345 4.213 2.104" Properties=species:S:1:pos:R:3 pbc="T T T"
Na -2.355 -1.477 -0.784
Mo 0.000 0.000 0.000
Ni -4.061 -0.682 2.841
Na -0.034 -1.312 2.573
Na -1.672 2.107 1.052
```

Values from the calculation:
volume = 38.55 A^3/atom
mass density = 1.927 Mg/m³

***

The least stable of them is version ii.

***

Version i
The following is a DFT calculation (PBE) of crystalline NaNi2Mo at its relaxed geometry.

The structure in extended XYZ format:
```
8
Lattice="6.823 0.000 0.000 0.000 6.823 0.000 3.411 3.411 2.782" Properties=species:S:1:pos:R:3 pbc="T T T"
Mo 6.823 3.411 1.391
Mo 0.000 0.000 0.000
Ni 8.528 8.752 2.086
Na 3.411 6.823 1.391
Ni 5.341 1.706 0.695
Na 3.411 3.411 0.000
Ni 5.117 4.893 2.086
Ni 1.482 5.117 0.695
```

Values from the calculation:
volume = 16.19 A^3/atom
mass density = 6.061 Mg/m³

***

Version ii
The following is a DFT calculation (PBE) of crystalline NaNi2Mo at its relaxed geometry.

The structure in extended XYZ format:
```
4
Lattice="0.172 2.546 3.455 2.192 3.691 -0.159 -2.100 3.747 0.013" Properties=species:S:1:pos:R:3 pbc="T T T"
Ni 0.066 2.496 0.827
Ni 0.199 7.488 2.482
Na 0.000 0.000 0.000
Mo 0.132 4.992 1.655
```

Values from the calculation:
volume = 14.01 A^3/atom
mass density = 7.002 Mg/m³

***

The least stable of them is version i.